[1]
## UZnCo5As2 (PBE)

Data for a relaxed UZnCo5As2 crystal.

Output
energy relative to the elements = 0.7 eV per formula unit

```
UZnCo5As2
1.0
3.6946 0.0000 0.0000
0.0000 3.6946 0.0000
0.0000 0.0000 10.2917
Co As U Zn
5 2 1 1
Cartesian
1.8473 1.8473 5.1459 Co
1.8473 0.0000 8.7219 Co
0.0000 1.8473 1.5698 Co
0.0000 1.8473 8.7219 Co
1.8473 0.0000 1.5698 Co
1.8473 1.8473 7.4041 As
1.8473 1.8473 2.8876 As
0.0000 0.0000 5.1459 U
0.0000 0.0000 0.0000 Zn
```

[2]
## V4Co2As (PBE)

Data for a relaxed V4Co2As crystal.

Output
energy relative to the elements = 5.2 eV per formula unit

```
V4Co2As
1.0
4.4354 0.0000 0.0000
0.0000 4.4354 0.0000
2.2177 2.2177 5.8485
Co As V
2 1 4
Cartesian
4.4354 4.4354 4.5359 Co
2.2177 2.2177 1.3126 Co
0.0000 0.0000 0.0000 As
4.4354 4.4354 2.4054 V
2.2177 0.0000 0.0000 V
0.0000 2.2177 0.0000 V
2.2177 2.2177 3.4431 V
```

[3]
## VCoAs (PBE)

Data for a relaxed VCoAs crystal.

Output
energy relative to the elements = -1.3 eV per formula unit

```
VCoAs
1.0
-2.1860 -2.3135 1.9346
3.8390 0.2138 4.5935
-3.4263 5.4211 2.6113
As Co V
4 4 4
Cartesian
-0.8544 1.5251 2.6512 As
-0.9190 1.7962 6.4881 As
-3.7148 3.0759 4.8593 As
1.9414 0.2454 4.2801 As
-1.5638 3.5472 7.8535 Co
-2.1776 1.3746 4.5617 Co
0.4042 1.9467 4.5777 Co
-0.2096 -0.2259 1.2859 Co
-2.7635 3.1122 2.3919 V
-0.4472 -0.6606 4.0832 V
0.9901 0.2091 6.7475 V
-1.3262 3.9820 5.0562 V
```

[4]
## VCoAs (PBE)

Data for a relaxed VCoAs crystal.

Output
energy relative to the elements = -0.7 eV per formula unit

```
VCoAs
1.0
2.7819 0.0000 0.0000
0.0000 3.9976 0.0000
0.0000 -1.9988 3.4620
As Co V
1 1 1
Cartesian
0.4628 0.0000 0.0000 As
0.4647 0.0000 2.3080 Co
1.8544 1.9988 1.1540 V
```

[5]
## VCo3As (PBE)

Data for a relaxed VCo3As crystal.

Output
polymorph energy (0 for the lowest one) = 0.0 meV/atom
energy relative to the elements = 3.9 eV per formula unit

```
VCo3As
1.0
-0.2131 -4.2295 -0.4561
3.9922 -0.0411 -1.4842
1.4694 -0.5017 3.9663
Co As V
3 1 1
Cartesian
-0.1066 -2.1147 -0.2280 Co
1.9961 -0.0206 -0.7421 Co
0.7347 -0.2509 1.9831 Co
0.0000 0.0000 0.0000 As
2.6242 -2.3862 1.0130 V
```

[6]
## VCo3As (PBE)

Data for a relaxed VCo3As crystal.

Output
polymorph energy (0 for the lowest one) = 306.9 meV/atom
energy relative to the elements = 5.4 eV per formula unit

```
VCo3As
1.0
4.2400 0.0000 0.0000
0.0000 4.2400 0.0000
0.0000 0.0000 4.2400
Co As V
3 1 1
Cartesian
0.0000 2.1200 0.0000 Co
2.1200 0.0000 0.0000 Co
0.0000 0.0000 2.1200 Co
2.1200 2.1200 2.1200 As
0.0000 0.0000 0.0000 V
```

[7]
## VCo2As (PBE)

Data for a relaxed VCo2As crystal.

Output
energy relative to the elements = -0.6 eV per formula unit

```
VCo2As
1.0
-0.9070 3.4610 0.1379
-0.6168 -0.0181 -3.6039
-3.4829 -0.9367 0.6008
Co As V
2 1 1
Cartesian
-0.3084 -0.0090 -1.8020 Co
-1.7415 -0.4684 0.3004 Co
-0.4535 1.7305 0.0689 As
-2.5034 1.2531 -1.4326 V
```

[8]
## VCoAs (PBE)

Data for a relaxed VCoAs crystal.

Output
energy relative to the elements = -0.2 eV per formula unit

```
VCoAs
1.0
3.2895 0.0000 0.0000
0.0000 3.2895 0.0000
-1.6447 -1.6447 3.6654
V As Co
1 1 1
Cartesian
1.6447 1.6447 0.8616 V
0.0000 0.0000 2.0671 As
1.6447 1.6447 3.3025 Co
```

[9]
## VCoAs (PBE)

Data for a relaxed VCoAs crystal.

Output
energy relative to the elements = -1.3 eV per formula unit

```
VCoAs
1.0
-2.0013 -2.3862 -2.0185
2.6255 -4.6187 2.8568
-7.4508 0.1364 7.2259
V Co As
6 6 6
Cartesian
-0.3825 -4.8275 0.9684 V
-3.2457 -4.9845 7.4045 V
-6.4440 -2.0409 7.0958 V
-2.9293 -4.2030 2.7551 V
-3.8973 -2.6655 5.3092 V
-3.5809 -1.8839 0.6597 V
-1.0717 -2.2600 2.0283 Co
1.4582 -5.1791 2.9709 Co
-8.2847 -1.6894 5.0934 Co
-1.6779 -4.5038 5.2818 Co
-5.7549 -4.6085 6.0359 Co
-5.1487 -2.3647 2.7824 Co
-3.8598 -5.2005 4.8569 As
-2.9667 -1.6680 3.2073 As
-1.4855 -2.9200 -0.1930 As
-6.3920 -2.9054 4.6544 As
-0.4345 -3.9631 3.4099 As
-5.3411 -3.9484 8.2573 As
```

[10]
## VCo2As (PBE)

Data for a relaxed VCo2As crystal.

Output
energy relative to the elements = 0.6 eV per formula unit

```
VCo2As
1.0
3.6813 0.0000 0.0000
0.0000 3.6813 0.0000
1.8407 1.8407 7.8545
V As Co
2 2 4
Cartesian
1.8407 1.8407 0.0000 V
1.8407 3.6813 3.9273 V
0.0000 0.0000 0.0000 As
3.6813 1.8407 3.9273 As
0.9133 2.7610 1.9636 Co
2.7681 0.9203 1.9636 Co
4.6017 4.6088 5.8909 Co
2.7610 2.7539 5.8909 Co
```

[11]
## V2CoAs2 (PBE)

Data for a relaxed V2CoAs2 crystal.

Output
energy relative to the elements = -0.8 eV per formula unit

```
V2CoAs2
1.0
6.5364 0.0000 0.0000
0.0000 6.5364 0.0000
0.0000 0.0000 3.2972
As V Co
4 4 2
Cartesian
1.0185 2.2497 0.0000 As
4.2868 1.0185 0.0000 As
5.5179 4.2868 0.0000 As
2.2497 5.5179 0.0000 As
4.2045 5.6002 1.6486 V
2.3320 0.9362 1.6486 V
0.9362 4.2045 1.6486 V
5.6002 2.3320 1.6486 V
0.0000 0.0000 0.0000 Co
3.2682 3.2682 0.0000 Co
```

[12]
## VCoAs3 (PBE)

Data for a relaxed VCoAs3 crystal.

Output
polymorph energy (0 for the lowest one) = 0.0 meV/atom
energy relative to the elements = 2.8 eV per formula unit

```
VCoAs3
1.0
-2.4340 0.6156 -3.8105
1.8558 -3.7634 -1.7933
-3.3845 -2.5062 1.7570
As V Co
3 1 1
Cartesian
-1.2170 0.3078 -1.9053 As
-1.6923 -1.2531 0.8785 As
0.9279 -1.8817 -0.8967 As
-1.9814 -2.8270 -1.9234 V
0.0000 0.0000 0.0000 Co
```

no.,DOS(E_F) (states/eV per cell)
1,14.95
2,9.84
3,4.79
4,2.69
5,5.27
6,5.34
7,3.56
8,3.52
9,13.31
10,6.86
11,11.52
12,5.64